This record from Alexandria via LeMat-Bulk describes an optimized crystal structure of HoTm2Pd9. The functional is GGA-PBE.

```
HoTm2Pd9
1.0
-1.018 3.174 -2.390
-1.884 -2.557 -2.594
-10.491 1.361 6.278
Pd Tm Ho
9 2 1
direct
0.500 0.000 0.500
0.500 0.000 0.168
0.000 0.500 0.500
0.000 0.500 0.832
0.500 0.000 0.832
0.500 0.500 0.666
0.500 0.500 0.334
0.500 0.500 0.000
0.000 0.500 0.168
0.000 0.000 0.334
0.000 0.000 0.666
0.000 0.000 0.000
```

Results
The calculation puts the calculated total energy at -71.0 eV/cell. As for the energy relative to the elements: -10.789 eV/f.u.

=====

This record from Alexandria via LeMat-Bulk describes an optimized crystal structure of KNa8Ag4. The functional is GGA-PBE.

```
KNa8Ag4
1.0
5.536 0.000 2.225
2.768 7.807 1.113
-0.143 0.000 8.356
Na K Ag
8 1 4
direct
0.500 0.778 0.222
0.661 0.339 0.339
0.339 0.661 0.661
0.278 0.222 0.222
0.722 0.778 0.778
0.000 0.339 0.661
0.000 0.661 0.339
0.500 0.222 0.778
0.000 0.000 0.000
0.500 0.000 0.500
0.500 0.500 0.000
0.000 0.500 0.000
0.000 0.000 0.500
```

Results
The calculation puts the calculated total energy at -23.2 eV/cell. As for the energy relative to the elements: -0.174 eV/f.u.

=====

This record from Alexandria via LeMat-Bulk describes an optimized crystal structure of TlMo3Pd. The functional is GGA-PBE.

```
TlMo3Pd
1.0
4.774 0.000 0.000
0.000 4.774 0.000
0.000 0.000 4.774
Mo Pd Tl
3 1 1
direct
0.500 0.000 0.000
0.000 0.500 0.000
0.000 0.000 0.500
0.000 0.000 0.000
0.500 0.500 0.500
```

Results
The calculation puts the calculated total energy at -30.9 eV/cell. As for the energy relative to the elements: 9.139 eV/f.u.

=====

This record from Alexandria via LeMat-Bulk describes an optimized crystal structure of ScIrOs2. The functional is GGA-PBE.

```
ScIrOs2
1.0
-0.785 3.824 -2.636
-2.382 -1.160 -0.973
-2.831 1.765 3.402
Os Ir Sc
2 1 1
direct
0.000 0.556 0.509
0.000 0.944 0.991
0.500 0.750 0.750
0.500 0.250 0.250
```

Results
The calculation puts the calculated total energy at -37.4 eV/cell. As for the energy relative to the elements: 0.207 eV/f.u.

=====

This record from Alexandria via LeMat-Bulk describes an optimized crystal structure of Li2Er5In5. The functional is GGA-PBE.

```
Li2Er5In5
1.0
-1.344 -3.549 -3.296
3.353 -1.019 3.562
-12.136 -2.179 7.295
Er Li In
5 2 5
direct
0.307 0.614 0.916
0.227 0.454 0.672
0.693 0.386 0.084
0.773 0.546 0.328
0.500 0.000 0.500
0.068 0.136 0.213
0.932 0.864 0.787
0.000 0.000 0.000
0.861 0.722 0.576
0.601 0.202 0.794
0.399 0.798 0.206
0.139 0.278 0.424
```

Results
The calculation puts the calculated total energy at -44.2 eV/cell. As for the energy relative to the elements: -3.857 eV/f.u.

=====

This record from Alexandria via LeMat-Bulk describes an optimized crystal structure of Sm2Tc2Sn2C. The functional is GGA-PBE.

```
Sm2Tc2Sn2C
1.0
-0.227 2.724 2.702
3.599 -1.657 4.706
5.981 3.622 -0.415
Sm Sn Tc C
2 2 2 1
direct
0.446 0.840 0.268
0.554 0.160 0.732
0.155 0.361 0.329
0.845 0.639 0.671
0.817 0.315 0.051
0.183 0.685 0.949
0.000 0.000 0.000
```

Results
The calculation puts the calculated total energy at -50.2 eV/cell. As for the energy relative to the elements: -2.804 eV/f.u.

=====

This record from Alexandria via LeMat-Bulk describes an optimized crystal structure of KLa2Hg3. The functional is GGA-PBE.

```
KLa2Hg3
1.0
-2.305 -1.358 -2.892
1.555 -3.592 0.447
-8.795 -2.771 8.308
Hg La K
3 2 1
direct
0.000 0.000 0.000
0.000 0.000 0.699
0.000 0.000 0.301
0.500 0.500 0.157
0.500 0.500 0.843
0.500 0.500 0.500
```

Results
The calculation puts the calculated total energy at -14.3 eV/cell. As for the energy relative to the elements: -2.414 eV/f.u.

=====

This record from Alexandria via LeMat-Bulk describes an optimized crystal structure of K2NaTc2N4. The functional is GGA-PBE.

```
K2NaTc2N4
1.0
3.419 0.000 0.000
-1.709 7.148 0.044
0.000 -2.490 6.162
K N Tc Na
2 4 2 1
direct
0.877 0.753 0.508
0.123 0.247 0.492
0.448 0.895 0.208
0.218 0.435 0.166
0.552 0.105 0.792
0.782 0.565 0.834
0.323 0.646 0.022
0.677 0.354 0.978
0.000 0.000 0.000
```

Results
The calculation puts the calculated total energy at -58.7 eV/cell. The energy relative to the elements, uncorrected is -0.129 eV per atom.

=====

This record from Alexandria via LeMat-Bulk describes an optimized crystal structure of KCrTc2. The functional is GGA-PBE.

```
KCrTc2
1.0
-7.717 -1.712 -5.744
-8.356 -3.573 -3.589
-9.137 -0.769 -3.376
Tc K Cr
2 1 1
direct
0.522 0.522 0.522
0.978 0.978 0.978
0.750 0.750 0.750
0.250 0.250 0.250
```

Results
The calculation puts the calculated total energy at -28.3 eV/cell. As for the energy relative to the elements: 3.139 eV/f.u.

=====

This record from Alexandria via LeMat-Bulk describes an optimized crystal structure of CuSbTe. The functional is GGA-PBE.

```
CuSbTe
1.0
-3.006 -2.362 1.972
3.824 -5.057 -0.003
2.718 1.817 6.327
Sb Te Cu
2 2 2
direct
0.748 0.583 0.882
0.252 0.417 0.118
0.757 0.217 0.650
0.243 0.783 0.350
0.253 0.387 0.504
0.747 0.613 0.496
```

Results
The calculation puts the calculated total energy at -22.6 eV/cell. The energy relative to the elements, uncorrected is 0.021 eV per atom.

=====

This record from Alexandria via LeMat-Bulk describes an optimized crystal structure of Na2CuIBr2. The functional is GGA-PBE.

```
Na2CuIBr2
1.0
-7.037 1.124 -2.258
-2.677 -2.098 7.296
1.722 7.413 -1.677
Br Cu I Na
4 2 2 4
direct
0.290 0.479 0.304
0.790 0.824 0.304
0.290 0.176 0.696
0.790 0.521 0.696
0.198 0.163 0.000
0.698 0.837 0.000
0.351 0.871 0.000
0.851 0.129 0.000
0.672 0.166 0.661
0.172 0.834 0.339
0.172 0.495 0.661
0.672 0.505 0.339
```

Results
The calculation puts the calculated total energy at -35.4 eV/cell. The energy relative to the elements, uncorrected is -1.010 eV per atom.

=====

This record from Alexandria via LeMat-Bulk describes an optimized crystal structure of Eu2GaI. The functional is GGA-PBE.

```
Eu2GaI
1.0
3.821 0.000 0.000
0.000 3.821 0.000
0.000 0.000 8.496
Ga Eu I
1 2 1
direct
0.500 0.500 0.000
0.000 0.000 0.782
0.000 0.000 0.218
0.500 0.500 0.500
```

Results
The calculation puts the calculated total energy at -28.2 eV/cell. The energy relative to the elements, uncorrected is -0.762 eV per atom.

=====

This record from Alexandria via LeMat-Bulk describes an optimized crystal structure of Pr2PuPt. The functional is GGA-PBE.

```
Pr2PuPt
1.0
3.671 0.000 0.000
0.000 3.671 0.000
0.000 0.000 8.464
Pr Pu Pt
2 1 1
direct
0.000 0.000 0.796
0.000 0.000 0.204
0.500 0.500 0.500
0.500 0.500 0.000
```

Results
The calculation puts the calculated total energy at -31.4 eV/cell. As for the energy relative to the elements: -1.516 eV/f.u.

=====

This record from Alexandria via LeMat-Bulk describes an optimized crystal structure of GaSnPAu2. The functional is GGA-PBE.

```
GaSnPAu2
1.0
4.858 0.000 0.000
0.000 4.817 0.000
0.000 0.000 4.858
Au Ga Sn P
2 1 1 1
direct
0.000 0.000 0.500
0.500 0.000 0.000
0.000 0.500 0.000
0.500 0.500 0.500
0.000 0.000 0.000
```

Results
The calculation puts the calculated total energy at -17.8 eV/cell. As for the energy relative to the elements: 1.221 eV/f.u.

=====

This record from Alexandria via LeMat-Bulk describes an optimized crystal structure of Ac5PaGe6. The functional is GGA-PBE.

```
Ac5PaGe6
1.0
-4.747 -1.711 -5.992
4.066 -3.381 -5.697
0.785 -7.791 -0.118
Ge Ac Pa
6 5 1
direct
0.232 0.925 0.693
0.768 0.383 0.693
0.238 0.223 0.000
0.762 0.777 0.000
0.232 0.617 0.307
0.768 0.075 0.307
0.500 0.826 0.349
0.000 0.665 0.670
0.000 0.335 0.330
0.500 0.174 0.651
0.500 0.500 0.000
0.000 0.000 0.000
```

Results
The calculation puts the calculated total energy at -64.1 eV/cell. As for the energy relative to the elements: -6.355 eV/f.u.

=====

This record from Alexandria via LeMat-Bulk describes an optimized crystal structure of ScIrIN2. The functional is GGA-PBE.

```
ScIrIN2
1.0
-3.819 -0.438 -0.155
0.066 -1.781 3.410
-0.833 6.135 3.220
Sc Ir I N
1 1 1 2
direct
0.500 0.500 0.500
0.000 0.000 0.000
0.000 0.000 0.500
0.000 0.500 0.000
0.500 0.000 0.000
```

Results
The calculation puts the calculated total energy at -29.9 eV/cell. The energy relative to the elements, uncorrected is 0.707 eV per atom.

=====

This record from Alexandria via LeMat-Bulk describes an optimized crystal structure of Pr12Nd7Tl. The functional is GGA-PBE.

```
Pr12Nd7Tl
1.0
-2.034 5.643 -6.610
-6.614 3.507 4.861
5.551 6.131 3.357
Tl Nd Pr
1 7 12
direct
0.000 0.000 0.000
0.383 0.069 0.146
0.069 0.146 0.383
0.146 0.383 0.069
0.500 0.500 0.500
0.854 0.617 0.931
0.931 0.854 0.617
0.617 0.931 0.854
0.384 0.856 0.498
0.856 0.498 0.384
0.740 0.260 0.122
0.144 0.502 0.616
0.616 0.144 0.502
0.498 0.384 0.856
0.260 0.740 0.878
0.740 0.878 0.260
0.502 0.616 0.144
0.122 0.740 0.260
0.878 0.260 0.740
0.260 0.122 0.740
```

Results
The calculation puts the calculated total energy at -90.5 eV/cell. As for the energy relative to the elements: 2.613 eV/f.u.

=====

This record from Alexandria via LeMat-Bulk describes an optimized crystal structure of CaFeNi2. The functional is GGA-PBE.

```
CaFeNi2
1.0
4.361 0.000 0.000
2.180 3.777 0.000
2.180 1.259 3.561
Ca Fe Ni
1 1 2
direct
0.500 0.500 0.500
0.750 0.750 0.750
0.000 0.000 0.000
0.250 0.250 0.250
```

Results
The calculation puts the calculated total energy at -20.5 eV/cell. As for the energy relative to the elements: 1.536 eV/f.u.

=====

This record from Alexandria via LeMat-Bulk describes an optimized crystal structure of TiGaTeI2. The functional is GGA-PBE.

```
TiGaTeI2
1.0
-4.592 3.127 1.338
-1.559 0.063 -5.497
-2.837 -4.488 0.753
Te I Ti Ga
1 2 1 1
direct
0.000 0.000 0.500
0.000 0.500 0.000
0.500 0.000 0.000
0.000 0.000 0.000
0.500 0.500 0.500
```

Results
The calculation puts the calculated total energy at -18.5 eV/cell. The energy relative to the elements, uncorrected is -0.257 eV per atom.

=====

This record from Alexandria via LeMat-Bulk describes an optimized crystal structure of MgTc. The functional is GGA-PBE.

```
MgTc
1.0
2.252 4.755 -0.004
-2.252 4.755 -0.004
0.000 3.203 4.625
Mg Tc
3 3
direct
0.851 0.851 0.326
0.149 0.149 0.674
0.500 0.500 0.500
0.500 0.500 0.000
0.801 0.801 0.876
0.199 0.199 0.124
```

Results
The calculation puts the calculated total energy at -34.9 eV/cell. As for the energy relative to the elements: 0.337 eV/f.u.

=====

This record from Alexandria via LeMat-Bulk describes an optimized crystal structure of TcSbPt2. The functional is GGA-PBE.

```
TcSbPt2
1.0
-4.671 0.719 -2.298
1.447 -3.170 -3.934
-4.126 -6.620 0.306
Pt Tc Sb
4 2 2
direct
0.375 0.404 0.750
0.875 0.846 0.750
0.154 0.625 0.250
0.596 0.125 0.250
0.500 0.500 0.000
0.250 0.750 0.500
0.000 0.000 0.000
0.750 0.250 0.500
```

Results
The calculation puts the calculated total energy at -49.2 eV/cell. The energy relative to the elements, uncorrected is 0.499 eV per atom.

=====

This record from Alexandria via LeMat-Bulk describes an optimized crystal structure of YZrHgPb. The functional is GGA-PBE.

```
YZrHgPb
1.0
-0.325 2.290 -4.657
-4.226 -0.695 -2.950
-3.329 3.926 -0.740
Pb Y Hg Zr
1 1 1 1
direct
0.000 0.000 0.000
0.750 0.750 0.750
0.500 0.500 0.500
0.250 0.250 0.250
```

Results
The calculation puts the calculated total energy at -19.9 eV/cell. As for the energy relative to the elements: -0.906 eV/f.u.

=====

This record from Alexandria via LeMat-Bulk describes an optimized crystal structure of La2ScCd2. The functional is GGA-PBE.

```
La2ScCd2
1.0
8.998 0.000 0.000
0.000 8.998 0.000
0.000 0.000 3.771
Cd Sc La
4 2 4
direct
0.360 0.140 0.500
0.640 0.860 0.500
0.860 0.360 0.500
0.140 0.640 0.500
0.500 0.500 0.000
0.000 0.000 0.000
0.659 0.159 0.000
0.841 0.659 0.000
0.341 0.841 0.000
0.159 0.341 0.000
```

Results
The calculation puts the calculated total energy at -35.8 eV/cell. As for the energy relative to the elements: 0.103 eV/f.u.

=====

This record from Alexandria via LeMat-Bulk describes an optimized crystal structure of HfGe2Pb. The functional is GGA-PBE.

```
HfGe2Pb
1.0
6.209 0.000 0.000
0.000 6.209 0.000
3.105 3.105 6.466
Hf Pb Ge
2 2 4
direct
0.500 0.500 0.000
0.250 0.750 0.500
0.000 0.000 0.000
0.750 0.250 0.500
0.375 0.395 0.750
0.145 0.625 0.250
0.605 0.125 0.250
0.875 0.855 0.750
```

Results
The calculation puts the calculated total energy at -42.7 eV/cell. As for the energy relative to the elements: 1.546 eV/f.u.

=====

This record from Alexandria via LeMat-Bulk describes an optimized crystal structure of NaSnSe. The functional is GGA-PBE.

```
NaSnSe
1.0
-2.136 -2.995 1.271
3.880 -0.278 -0.109
0.764 6.580 10.890
Se Sn Na
2 2 2
direct
0.139 0.568 0.707
0.804 0.403 0.207
0.565 0.783 0.348
0.566 0.282 0.848
0.370 0.184 0.554
0.036 0.019 0.055
```

Results
The calculation puts the calculated total energy at -20.1 eV/cell. The energy relative to the elements, uncorrected is -0.418 eV per atom.